[1]
## Li3Sb5P6O24 (SCAN)

Data for a crystal of Li3Sb5P6O24 relaxed with PBEsol.

Cell lengths 8.4571, 8.6215, 8.6295 Å; angles 108.56, 109.07, 109.68 degrees
Element x y z (fractional)
O1 0.6626 0.3463 0.0884
O2 0.4331 0.7631 0.5634
O3 0.3371 0.0728 0.6637
O4 0.2742 0.9311 0.0780
O5 0.7338 0.1642 0.8179
O6 0.5841 0.4097 0.7765
O7 0.0776 0.2556 0.9055
O8 0.7793 0.5857 0.4258
O9 0.6498 0.8214 0.9037
O10 0.6584 0.2452 0.3246
O11 0.3584 0.1945 0.4352
O12 0.1569 0.4236 0.3513
O13 0.7840 0.7078 0.1319
O14 0.1513 0.5837 0.8575
O15 0.1609 0.8119 0.7355
O16 0.8335 0.9224 0.6963
O17 0.5902 0.8623 0.1700
O18 0.8366 0.1494 0.5691
O19 0.2379 0.3172 0.6572
O20 0.0984 0.6935 0.3591
O21 0.4244 0.3601 0.1997
O22 0.9331 0.0559 0.2321
O23 0.9224 0.7068 0.8530
O24 0.2891 0.6287 0.2145
P1 0.7503 0.8703 0.1149
P2 0.3731 0.2440 0.6284
P3 0.1282 0.7589 0.8834
P4 0.8660 0.1269 0.7432
P5 0.2460 0.6181 0.3748
P6 0.6260 0.3859 0.2588
Sb1 0.3216 0.4871 0.9891
Sb2 0.5050 0.0167 0.3377
Sb3 0.6489 0.6737 0.6664
Sb4 0.8276 0.4826 0.9992
Sb5 0.0257 0.8532 0.5201
Li1 0.0075 0.2730 0.4577
Li2 0.4963 0.9839 0.7825
Li3 0.1887 0.2129 0.2340

Values from the calculation:
Raw formation energy, eV/atom: -2.163
Spin magnetization, μB/f.u.: 0.00
Final energy, hartree per atom: -0.472

[2]
## LiSbP4O12 (SCAN)

Data for a crystal of LiSbP4O12 relaxed with PBEsol.

Cell lengths 7.2937, 8.8172, 9.1765 Å; angles 65.19, 66.58, 65.57 degrees
Element x y z (fractional)
O1 0.6122 0.3667 0.1660
O2 0.5712 0.7586 0.9076
O3 0.7300 0.0327 0.2230
O4 0.8551 0.8667 0.6660
O5 0.5670 0.0799 0.7985
O6 0.4454 0.4201 0.7015
O7 0.7627 0.2586 0.4076
O8 0.4288 0.2414 0.0924
O9 0.3762 0.3371 0.4622
O10 0.8087 0.2365 0.9291
O11 0.9743 0.2635 0.5709
O12 0.3878 0.6333 0.8340
O13 0.0257 0.7365 0.4291
O14 0.1755 0.1629 0.0378
O15 0.0144 0.5327 0.7230
O16 0.2373 0.7414 0.5924
O17 0.1449 0.1333 0.3340
O18 0.2700 0.9673 0.7770
O19 0.9856 0.4673 0.2770
O20 0.8245 0.8371 0.9622
O21 0.5546 0.5799 0.2985
O22 0.1913 0.7635 0.0709
O23 0.4330 0.9201 0.2015
O24 0.6238 0.6629 0.5378
P1 0.6614 0.2090 0.0983
P2 0.0313 0.7090 0.5983
P3 0.5661 0.3923 0.3395
P4 0.2979 0.1077 0.1605
P5 0.7021 0.8923 0.8395
P6 0.4339 0.6077 0.6605
P7 0.9687 0.2910 0.4017
P8 0.3386 0.7910 0.9017
Sb1 0.2714 0.2500 0.7500
Sb2 0.7286 0.7500 0.2500
Li1 0.0000 0.5000 0.5000
Li2 0.0000 0.0000 0.0000

Values from the calculation:
Raw formation energy, eV/atom: -2.202
Spin magnetization, μB/f.u.: 0.00
Final energy, hartree per atom: -0.399

[3]
## LiSbP2O7 (SCAN)

Data for a crystal of LiSbP2O7 relaxed with PBEsol.

Cell lengths 6.6470, 6.6885, 6.8202 Å; angles 79.29, 64.64, 83.07 degrees
Element x y z (fractional)
O1 0.8087 0.7502 0.7214
O2 0.2500 0.6045 0.3340
O3 0.9177 0.9873 0.2494
O4 0.9417 0.6716 0.0866
O5 0.3881 0.0707 0.8674
O6 0.3565 0.2910 0.5442
O7 0.1913 0.2498 0.2786
O8 0.7500 0.3955 0.6660
O9 0.5823 0.3601 0.1461
O10 0.0583 0.3284 0.9134
O11 0.4177 0.6399 0.8539
O12 0.6435 0.7090 0.4558
O13 0.6119 0.9293 0.1326
O14 0.0823 0.0127 0.7506
Li1 0.3813 0.8197 0.0786
Li2 0.6187 0.1803 0.9214
P1 0.7773 0.8364 0.2211
P2 0.6589 0.6119 0.6890
P3 0.2227 0.1636 0.7789
P4 0.3411 0.3881 0.3110
Sb1 0.1185 0.6975 0.7380
Sb2 0.8815 0.3025 0.2620

Values from the calculation:
Raw formation energy, eV/atom: -2.234
Spin magnetization, μB/f.u.: 0.00
Final energy, hartree per atom: -0.430

[4]
## LiSbP4O12 (SCAN)

Data for a crystal of LiSbP4O12 relaxed with PBEsol.

Cell lengths 5.5697, 10.9522, 10.9522 Å; angles 69.71, 78.31, 78.31 degrees
Element x y z (fractional)
P1 0.4452 0.7053 0.9377
P2 0.8333 0.7883 0.3671
P3 0.5548 0.0623 0.2947
P4 0.4452 0.9377 0.7053
P5 0.8333 0.3671 0.7883
P6 0.1667 0.2117 0.6329
P7 0.5548 0.2947 0.0623
P8 0.1667 0.6329 0.2117
O1 0.0000 0.2400 0.7600
O2 0.2771 0.3195 0.0752
O3 0.6743 0.6852 0.4398
O4 0.3257 0.3148 0.5602
O5 0.3228 0.8990 0.6155
O6 0.6772 0.3845 0.1010
O7 0.9957 0.8235 0.4415
O8 0.9957 0.4415 0.8235
O9 0.3332 0.7119 0.0804
O10 0.3257 0.5602 0.3148
O11 0.7229 0.6805 0.9248
O12 0.6408 0.1447 0.1447
O13 0.6772 0.1010 0.3845
O14 0.6668 0.9196 0.2881
O15 0.6668 0.2881 0.9196
O16 0.3592 0.8553 0.8553
O17 0.0000 0.7600 0.2400
O18 0.0043 0.1765 0.5585
O19 0.6743 0.4398 0.6852
O20 0.3228 0.6155 0.8990
O21 0.2771 0.0752 0.3195
O22 0.7229 0.9248 0.6805
O23 0.0043 0.5585 0.1765
O24 0.3332 0.0804 0.7119
Li1 0.5102 0.5942 0.5942
Li2 0.4898 0.4058 0.4058
Sb1 0.0000 0.0000 0.5000
Sb2 0.0000 0.5000 0.0000

Values from the calculation:
Raw formation energy, eV/atom: -2.201
Spin magnetization, μB/f.u.: 0.00
Final energy, hartree per atom: -0.399

[5]
## LiSnPO4 (SCAN)

Data for a crystal of LiSnPO4 relaxed with PBEsol.

Cell lengths 6.9816, 9.4151, 16.1057 Å; angles 90.80, 90.00, 90.00 degrees
Element x y z (fractional)
O1 0.4334 0.9584 0.4124
O2 0.7859 0.0645 0.2505
O3 0.2342 0.4484 0.5790
O4 0.7742 0.3264 0.1548
O5 0.2496 0.1521 0.4970
O6 0.5838 0.8193 0.9681
O7 0.5666 0.0416 0.5876
O8 0.2658 0.9484 0.0790
O9 0.7078 0.3360 0.3350
O10 0.7922 0.8360 0.8350
O11 0.4025 0.1384 0.8226
O12 0.2742 0.1736 0.3452
O13 0.9162 0.3193 0.4681
O14 0.5460 0.3538 0.6798
O15 0.2859 0.4355 0.2495
O16 0.0460 0.1462 0.8202
O17 0.7496 0.3479 0.0030
O18 0.7141 0.5645 0.7505
O19 0.2922 0.6640 0.6650
O20 0.7658 0.5516 0.4210
O21 0.4540 0.6462 0.3202
O22 0.5799 0.5342 0.0945
O23 0.5975 0.8616 0.1774
O24 0.4201 0.4658 0.9055
O25 0.7316 0.3321 0.8174
O26 0.0838 0.6807 0.5319
O27 0.9370 0.8469 0.9808
O28 0.2078 0.1640 0.1650
O29 0.2258 0.6736 0.8452
O30 0.0975 0.6384 0.3226
O31 0.7504 0.8479 0.5030
O32 0.9025 0.3616 0.6774
O33 0.2316 0.1679 0.6826
O34 0.4370 0.6531 0.5192
O35 0.2141 0.9355 0.7495
O36 0.0799 0.9658 0.4055
O37 0.0666 0.4584 0.9124
O38 0.7258 0.8264 0.6548
O39 0.2504 0.6521 0.9970
O40 0.5630 0.3469 0.4808
O41 0.7684 0.8321 0.3174
O42 0.7342 0.0516 0.9210
O43 0.9540 0.8538 0.1798
O44 0.9201 0.0342 0.5945
O45 0.9334 0.5416 0.0876
O46 0.0630 0.1531 0.0192
O47 0.4162 0.1807 0.0319
O48 0.2684 0.6679 0.1826
P1 0.7387 0.9405 0.5866
P2 0.7635 0.8837 0.9264
P3 0.7613 0.4405 0.0866
P4 0.7248 0.4038 0.7283
P5 0.2613 0.0595 0.4134
P6 0.2635 0.6163 0.5736
P7 0.7752 0.9038 0.2283
P8 0.2365 0.1163 0.0736
P9 0.2387 0.5595 0.9134
P10 0.7365 0.3837 0.4264
P11 0.2752 0.5962 0.2717
P12 0.2248 0.0962 0.7717
Li1 0.0441 0.7747 0.7735
Li2 0.4612 0.2604 0.9189
Li3 0.5018 0.7608 0.4214
Li4 0.9559 0.2253 0.2265
Li5 0.5388 0.7396 0.0811
Li6 0.4559 0.2747 0.2735
Li7 0.4982 0.2392 0.5786
Li8 0.0388 0.7604 0.4189
Li9 0.5441 0.7253 0.7265
Li10 0.9982 0.2608 0.9214
Li11 0.9612 0.2396 0.5811
Li12 0.0018 0.7392 0.0786
Sn1 0.7384 0.1234 0.0638
Sn2 0.2625 0.4625 0.1008
Sn3 0.2384 0.3766 0.4362
Sn4 0.7625 0.0375 0.3992
Sn5 0.7377 0.0866 0.7821
Sn6 0.7623 0.5866 0.2821
Sn7 0.2377 0.4134 0.7179
Sn8 0.2616 0.8766 0.9362
Sn9 0.7616 0.6234 0.5638
Sn10 0.2375 0.9625 0.6008
Sn11 0.7375 0.5375 0.8992
Sn12 0.2623 0.9134 0.2179

Values from the calculation:
Raw formation energy, eV/atom: -2.179
Spin magnetization, μB/f.u.: 0.00
Final energy, hartree per atom: -0.467

[6]
## Li3Sn2P3O12 (SCAN)

Data for a crystal of Li3Sn2P3O12 relaxed with PBEsol.

Cell lengths 4.9816, 4.9816, 20.0818 Å; angles 90.22, 90.22, 66.68 degrees
Element x y z (fractional)
O1 0.2371 0.2371 0.6396
O2 0.6986 0.2486 0.5908
O3 0.2841 0.2841 0.5129
O4 0.2437 0.2437 0.3184
O5 0.2393 0.7064 0.8928
O6 0.2370 0.6890 0.2534
O7 0.2936 0.7607 0.1072
O8 0.7611 0.7611 0.8073
O9 0.2554 0.2554 0.8304
O10 0.3110 0.7630 0.7466
O11 0.2486 0.6986 0.5908
O12 0.7446 0.7446 0.1696
O13 0.7563 0.7563 0.6816
O14 0.7308 0.7308 0.0406
O15 0.7629 0.7629 0.3604
O16 0.7064 0.2393 0.8928
O17 0.2389 0.2389 0.1927
O18 0.3014 0.7514 0.4092
O19 0.6890 0.2370 0.2534
O20 0.7159 0.7159 0.4871
O21 0.7607 0.2936 0.1072
O22 0.7630 0.3110 0.7466
O23 0.7514 0.3014 0.4092
O24 0.2692 0.2692 0.9594
P1 0.3615 0.3615 0.8950
P2 0.6385 0.6385 0.1050
P3 0.6405 0.6405 0.4169
P4 0.6567 0.6567 0.7433
P5 0.3595 0.3595 0.5831
P6 0.3433 0.3433 0.2567
Sn1 0.0000 0.0000 0.0000
Sn2 0.0000 0.0000 0.5000
Sn3 0.0054 0.0054 0.8188
Sn4 0.9946 0.9946 0.1812
Li1 0.3352 0.3352 0.7239
Li2 0.9957 0.9957 0.3484
Li3 0.0043 0.0043 0.6516
Li4 0.6687 0.6687 0.5876
Li5 0.6648 0.6648 0.2761
Li6 0.3313 0.3313 0.4124

Values from the calculation:
Raw formation energy, eV/atom: -2.248
Spin magnetization, μB/f.u.: 0.00
Final energy, hartree per atom: -0.423
Energy above the lowest structure with this stoichiometry, eV/atom: 0.058